A geometry-optimized Ac3Tl2Cd3 structure. Source: Alexandria, functional PBE.

Values from the calculation:
M_tot   0.00 μB per formula unit
ΔE_f   -5.69 kcal/mol of atoms
Total DFT energy (no corrections)   -21.778 eV/f.u.
N(E_F)   0.856 states/eV/atom

a b c (Å): 20.325 4.582 5.703
angles (deg): 90.00 102.01 90.00
Space group C2/m (No. 12)
Unique sites:
Ac: 0.000 0.000 0.000 (multiplicity 2)
Ac: 0.140 0.000 0.597 (multiplicity 4)
Tl: 0.237 0.000 0.193 (multiplicity 4)
Cd: 0.000 0.500 0.500 (multiplicity 2)
Cd: 0.130 0.500 0.085 (multiplicity 4)



A geometry-optimized Ac2Tl3Cd2 structure. Source: Alexandria, functional PBE.

Values from the calculation:
M_tot   0.00 μB per formula unit
ΔE_f   -5.73 kcal/mol of atoms
Total DFT energy (no corrections)   -18.886 eV/f.u.
N(E_F)   0.795 states/eV/atom

a b c (Å): 12.068 4.953 7.419
angles (deg): 90.00 98.71 90.00
Space group C2/m (No. 12)
Unique sites:
Ac: 0.118 0.000 0.316 (multiplicity 4)
Tl: 0.000 0.500 0.000 (multiplicity 2)
Tl: 0.200 0.000 0.854 (multiplicity 4)
Cd: 0.096 0.500 0.645 (multiplicity 4)



A geometry-optimized AcTl6Cd6 structure. Source: Alexandria, functional PBE.

Values from the calculation:
M_tot   0.00 μB per formula unit
ΔE_f   -1.48 kcal/mol of atoms
Total DFT energy (no corrections)   -24.630 eV/f.u.
N(E_F)   0.331 states/eV/atom

a b c (Å): 5.994 10.470 11.458
angles (deg): 90.00 90.00 90.00
Space group Immm (No. 71)
Unique sites:
Ac: 0.000 0.000 0.000 (multiplicity 2)
Tl: 0.000 0.000 0.355 (multiplicity 4)
Tl: 0.000 0.312 0.500 (multiplicity 4)
Tl: 0.000 0.349 0.000 (multiplicity 4)
Cd: 0.000 0.500 0.277 (multiplicity 4)
Cd: 0.250 0.250 0.250 (multiplicity 8)



A geometry-optimized Ac2TlCd4 structure. Source: Alexandria, functional PBE.

Values from the calculation:
M_tot   0.00 μB per formula unit
ΔE_f   3.27 kcal/mol of atoms
Total DFT energy (no corrections)   -13.252 eV/f.u.
N(E_F)   0.945 states/eV/atom

a b c (Å): 5.348 5.348 17.561
angles (deg): 90.00 90.00 90.00
Space group I4/mmm (No. 139)
Unique sites:
Ac: 0.000 0.000 0.141 (multiplicity 4)
Tl: 0.000 0.000 0.500 (multiplicity 2)
Cd: 0.000 0.000 0.328 (multiplicity 4)
Cd: 0.000 0.500 0.000 (multiplicity 4)



A geometry-optimized Ac2TlCd3 structure. Source: Alexandria, functional PBE.

Values from the calculation:
M_tot   0.00 μB per formula unit
ΔE_f   -7.71 kcal/mol of atoms
Total DFT energy (no corrections)   -15.335 eV/f.u.
N(E_F)   0.855 states/eV/atom

a b c (Å): 3.958 5.183 8.958
angles (deg): 90.00 90.00 90.00
Space group Pmm2 (No. 25)
Unique sites:
Ac: 0.000 0.000 0.000 (multiplicity 1)
Ac: 0.000 0.500 0.498 (multiplicity 1)
Tl: 0.500 0.000 0.335 (multiplicity 1)
Cd: 0.500 0.000 0.674 (multiplicity 1)
Cd: 0.500 0.500 0.158 (multiplicity 1)
Cd: 0.500 0.500 0.830 (multiplicity 1)



A geometry-optimized Ac4TlCd3 structure. Source: Alexandria, functional PBE.

Values from the calculation:
M_tot   0.00 μB per formula unit
ΔE_f   -7.06 kcal/mol of atoms
Total DFT energy (no corrections)   -23.993 eV/f.u.
N(E_F)   1.351 states/eV/atom

a b c (Å): 5.769 5.769 16.443
angles (deg): 90.00 90.00 90.00
Space group I4/mmm (No. 139)
Unique sites:
Ac: 0.000 0.500 0.126 (multiplicity 8)
Tl: 0.000 0.000 0.000 (multiplicity 2)
Cd: 0.000 0.000 0.251 (multiplicity 4)
Cd: 0.000 0.000 0.500 (multiplicity 2)



A geometry-optimized AcTl2Cd structure. Source: Alexandria, functional PBE.

Values from the calculation:
M_tot   0.00 μB per formula unit
ΔE_f   -3.54 kcal/mol of atoms
Total DFT energy (no corrections)   -10.370 eV/f.u.
N(E_F)   0.834 states/eV/atom

a b c (Å): 3.961 3.961 7.730
angles (deg): 90.00 90.00 90.00
Space group P4/mmm (No. 123)
Unique sites:
Ac: 0.000 0.000 0.000 (multiplicity 1)
Tl: 0.500 0.500 0.286 (multiplicity 2)
Cd: 0.000 0.000 0.500 (multiplicity 1)



A geometry-optimized Ac2TlCd8 structure. Source: Alexandria, functional PBE.

Values from the calculation:
M_tot   0.00 μB per formula unit
ΔE_f   -4.06 kcal/mol of atoms
Total DFT energy (no corrections)   -19.839 eV/f.u.
N(E_F)   0.578 states/eV/atom

a b c (Å): 5.956 6.237 9.384
angles (deg): 77.96 72.29 67.54
Space group P-1 (No. 2)
Unique sites:
Ac: 0.172 0.201 0.183 (multiplicity 2)
Tl: 0.000 0.500 0.500 (multiplicity 1)
Cd: 0.219 0.147 0.773 (multiplicity 2)
Cd: 0.267 0.727 0.006 (multiplicity 2)
Cd: 0.335 0.855 0.514 (multiplicity 2)
Cd: 0.498 0.552 0.261 (multiplicity 2)



A geometry-optimized Ac3TlCd2 structure. Source: Alexandria, functional PBE.

Values from the calculation:
M_tot   0.00 μB per formula unit
ΔE_f   -7.13 kcal/mol of atoms
Total DFT energy (no corrections)   -18.376 eV/f.u.
N(E_F)   1.438 states/eV/atom

a b c (Å): 4.075 4.075 12.403
angles (deg): 90.00 90.00 90.00
Space group P4/mmm (No. 123)
Unique sites:
Ac: 0.000 0.000 0.000 (multiplicity 1)
Ac: 0.000 0.000 0.328 (multiplicity 2)
Tl: 0.500 0.500 0.500 (multiplicity 1)
Cd: 0.500 0.500 0.162 (multiplicity 2)



A geometry-optimized Ac6TlCd structure. Source: Alexandria, functional PBE.

Values from the calculation:
M_tot   0.00 μB per formula unit
ΔE_f   -3.60 kcal/mol of atoms
Total DFT energy (no corrections)   -29.181 eV/f.u.
N(E_F)   1.248 states/eV/atom

a b c (Å): 5.709 5.709 19.587
angles (deg): 90.00 90.00 90.00
Space group I4/mmm (No. 139)
Unique sites:
Ac: 0.000 0.000 0.250 (multiplicity 4)
Ac: 0.000 0.500 0.108 (multiplicity 8)
Tl: 0.000 0.000 0.000 (multiplicity 2)
Cd: 0.000 0.000 0.500 (multiplicity 2)



A geometry-optimized Ac3TlCd structure. Source: Alexandria, functional PBE.

Values from the calculation:
M_tot   0.00 μB per formula unit
ΔE_f   -5.73 kcal/mol of atoms
Total DFT energy (no corrections)   -16.849 eV/f.u.
N(E_F)   1.367 states/eV/atom

a b c (Å): 5.809 21.787 5.805
angles (deg): 90.00 90.00 90.00
Space group Cmcm (No. 63)
Unique sites:
Ac: 0.000 0.062 0.250 (multiplicity 4)
Ac: 0.000 0.249 0.250 (multiplicity 4)
Ac: 0.000 0.436 0.250 (multiplicity 4)
Tl: 0.000 0.154 0.750 (multiplicity 4)
Cd: 0.000 0.347 0.750 (multiplicity 4)



A geometry-optimized Ac3Tl4Cd4 structure. Source: Alexandria, functional PBE.

Values from the calculation:
M_tot   0.00 μB per formula unit
ΔE_f   -6.09 kcal/mol of atoms
Total DFT energy (no corrections)   -28.356 eV/f.u.
N(E_F)   0.500 states/eV/atom

a b c (Å): 4.247 5.082 15.847
angles (deg): 98.56 97.63 90.04
Space group P-1 (No. 2)
Unique sites:
Ac: 0.000 0.000 0.000 (multiplicity 1)
Ac: 0.148 0.634 0.292 (multiplicity 2)
Tl: 0.322 0.829 0.624 (multiplicity 2)
Tl: 0.479 0.546 0.099 (multiplicity 2)
Cd: 0.249 0.270 0.513 (multiplicity 2)
Cd: 0.362 0.913 0.812 (multiplicity 2)



What did the eighth record say?
A geometry-optimized Ac2TlCd8 structure. Source: Alexandria, functional PBE.

Values from the calculation:
M_tot   0.00 μB per formula unit
ΔE_f   -4.06 kcal/mol of atoms
Total DFT energy (no corrections)   -19.839 eV/f.u.
N(E_F)   0.578 states/eV/atom

a b c (Å): 5.956 6.237 9.384
angles (deg): 77.96 72.29 67.54
Space group P-1 (No. 2)
Unique sites:
Ac: 0.172 0.201 0.183 (multiplicity 2)
Tl: 0.000 0.500 0.500 (multiplicity 1)
Cd: 0.219 0.147 0.773 (multiplicity 2)
Cd: 0.267 0.727 0.006 (multiplicity 2)
Cd: 0.335 0.855 0.514 (multiplicity 2)
Cd: 0.498 0.552 0.261 (multiplicity 2)



What is the total DFT energy (no corrections) in the eleventh record?
-16.849 eV/f.u.



Look up the total DFT energy (no corrections) of the tenth one.
-29.181 eV/f.u.